1.
{
  "formula": "DyYNpO6",
  "functional": "PBE",
  "state": "optimized geometry",
  "lattice": [[5.7396, 0.0000, 0.0000], [-2.8698, 4.9706, 0.0000], [0.0000, 0.0000, 9.4160]],
  "species": ["Np", "Np", "O", "O", "O", "O", "O", "O", "O", "O", "O", "O", "O", "O", "Y", "Y", "Dy", "Dy"],
  "fractional_positions": [[0.6667, 0.3333, 0.2500], [0.3333, 0.6667, 0.7500], [0.6687, 0.6428, 0.1336], [0.9741, 0.3313, 0.1336], [0.3572, 0.3313, 0.3664], [0.6428, 0.9741, 0.8664], [0.3572, 0.0259, 0.1336], [0.3313, 0.9741, 0.6335], [0.6687, 0.0259, 0.3664], [0.6428, 0.6687, 0.6335], [0.0259, 0.6687, 0.8664], [0.3313, 0.3572, 0.8664], [0.0259, 0.3572, 0.6335], [0.9741, 0.6428, 0.3664], [0.0000, 0.0000, 0.5000], [0.0000, 0.0000, 0.0000], [0.3333, 0.6667, 0.2500], [0.6667, 0.3333, 0.7500]],
  "total_energy_ev_per_atom": -9.1704,
  "raw_formation_energy_ev_per_atom": -3.1975,
  "magnetic_moment_mub_per_fu": 1.000
}



2.
{
  "formula": "DyNpZnO6",
  "functional": "PBE",
  "state": "optimized geometry",
  "lattice": [[5.6765, 0.0000, 0.0000], [-2.8382, 4.9160, 0.0000], [0.0000, 0.0000, 8.7920]],
  "species": ["O", "O", "O", "O", "O", "O", "O", "O", "O", "O", "O", "O", "Dy", "Dy", "Np", "Np", "Zn", "Zn"],
  "fractional_positions": [[0.3567, 0.3248, 0.3701], [0.3248, 0.9681, 0.6299], [0.6752, 0.6433, 0.1299], [0.0319, 0.3567, 0.6299], [0.3248, 0.3567, 0.8701], [0.6752, 0.0319, 0.3701], [0.0319, 0.6752, 0.8701], [0.9681, 0.6433, 0.3701], [0.3567, 0.0319, 0.1299], [0.9681, 0.3248, 0.1299], [0.6433, 0.6752, 0.6299], [0.6433, 0.9681, 0.8701], [0.6667, 0.3333, 0.7500], [0.3333, 0.6667, 0.2500], [0.6667, 0.3333, 0.2500], [0.3333, 0.6667, 0.7500], [0.0000, 0.0000, 0.0000], [0.0000, 0.0000, 0.5000]],
  "total_energy_ev_per_atom": -7.8205,
  "raw_formation_energy_ev_per_atom": -2.4242,
  "magnetic_moment_mub_per_fu": 0.000
}